The following is a DFT calculation (PBE) of crystalline HfNb2Te4Se2 at its relaxed geometry.

Cell: 3.6814 3.6814 22.3429 Å, 90.00 90.00 120.00°
Fractional positions:
Hf1 0.0000 0.0000 0.3298
Nb1 0.0000 0.0000 0.9773
Nb2 0.6667 0.3333 0.6517
Te1 0.0000 0.0000 0.5686
Te2 0.6667 0.3333 0.0606
Te3 0.6667 0.3333 0.8946
Te4 0.0000 0.0000 0.7346
Se1 0.6667 0.3333 0.4051
Se2 0.6667 0.3333 0.2548

Computed properties:
Its space group is No. 156. The calculation puts the uncorrected energy at -6.2021 eV per atom. The value obtained for the energy relative to the elements, uncorrected is -0.69 eV/atom. As for the size of the total moment: 1.12 μB per cell.

=====

The following is a DFT calculation (PBE) of crystalline HfNbSi3 at its relaxed geometry.

Cell: 4.7274 4.7274 4.7274 Å, 90.00 90.00 90.00°
Fractional positions:
Nb1 0.0000 0.0000 0.0000
Hf1 0.5000 0.5000 0.5000
Si1 0.0000 0.5000 0.0000
Si2 0.0000 0.0000 0.5000
Si3 0.5000 0.0000 0.0000

Computed properties:
Its space group is No. 221. The calculation puts the uncorrected energy at -6.5456 eV per atom. The value obtained for the energy relative to the elements, uncorrected is 0.71 eV/atom. As for the size of the total moment: 0.00 μB per cell.

=====

The following is a DFT calculation (PBE) of crystalline HfNbSi2 at its relaxed geometry.

Cell: 4.5501 4.5501 4.5501 Å, 60.00 60.00 60.00°
Fractional positions:
Nb1 0.0000 0.0000 0.0000
Hf1 0.5000 0.5000 0.5000
Si1 0.2500 0.2500 0.2500
Si2 0.7500 0.7500 0.7500

Computed properties:
Its space group is No. 225. The calculation puts the uncorrected energy at -7.9547 eV per atom. The value obtained for the energy relative to the elements, uncorrected is -0.24 eV/atom. The excess energy over the best structure of this formula in the dataset is 453.3 meV/atom. As for the size of the total moment: 0.00 μB per cell.

=====

The following is a DFT calculation (PBE) of crystalline HfNbSi2 at its relaxed geometry.

Cell: 4.2430 4.2430 5.0287 Å, 65.05 65.05 60.00°
Fractional positions:
Nb1 0.5000 0.5000 0.5000
Hf1 0.0000 0.0000 0.0000
Si1 0.7621 0.7621 0.7137
Si2 0.2379 0.2379 0.2863

Computed properties:
Its space group is No. 166. The calculation puts the uncorrected energy at -8.0301 eV per atom. The value obtained for the energy relative to the elements, uncorrected is -0.31 eV/atom. The excess energy over the best structure of this formula in the dataset is 377.8 meV/atom. As for the size of the total moment: 0.00 μB per cell.

=====

The following is a DFT calculation (PBE) of crystalline Hf2NbSi at its relaxed geometry.

Cell: 3.1726 3.1726 9.1679 Å, 80.04 80.04 60.00°
Fractional positions:
Nb1 0.5000 0.5000 0.5000
Hf1 0.2546 0.2546 0.2361
Hf2 0.7454 0.7454 0.7639
Si1 0.0000 0.0000 0.0000

Computed properties:
Its space group is No. 166. The calculation puts the uncorrected energy at -8.8883 eV per atom. The value obtained for the energy relative to the elements, uncorrected is -0.04 eV/atom. As for the size of the total moment: 0.00 μB per cell.

=====

The following is a DFT calculation (PBE) of crystalline Hf5NbSi4 at its relaxed geometry.

Cell: 3.9507 6.7046 8.8089 Å, 117.80 102.96 90.00°
Fractional positions:
Hf1 0.8260 0.6226 0.6521
Hf2 0.8397 0.1603 0.6793
Hf3 0.1603 0.8397 0.3207
Hf4 0.5000 0.5000 0.0000
Hf5 0.1740 0.3774 0.3479
Nb1 0.5000 0.0000 0.0000
Si1 0.3222 0.8724 0.6444
Si2 0.9909 0.7432 0.9818
Si3 0.6778 0.1276 0.3556
Si4 0.0091 0.2568 0.0182

Computed properties:
Its space group is No. 12. The calculation puts the uncorrected energy at -8.4378 eV per atom. The value obtained for the energy relative to the elements, uncorrected is -0.28 eV/atom. As for the size of the total moment: 0.00 μB per cell.